The following is a GGA+U calculation of an optimized crystal structure of VAgO2F, from the Alexandria database.

Structure (POSCAR):
```
VAgO2F
1.0
3.8113 0.0000 0.0000
0.0000 3.8113 0.0000
0.0000 0.0000 4.1070
V Ag O F
1 1 2 1
Direct
0.0000 0.0000 0.0000 V
0.5000 0.5000 0.5000 Ag
0.0000 0.5000 0.0000 O
0.5000 0.0000 0.0000 O
0.0000 0.0000 0.5000 F
```

Summary:
- Raw total energy: -5.871 eV per atom
- Spin magnetization: 1.0 Bohr magnetons per cell
- Symmetry: P4/mmm